(1)
Here is crystalline Pa8Ge3As5 at its relaxed geometry from Alexandria via LeMat-Bulk. Energies are from PBE-GGA.

Properties
Formation energy (meV per atom): -836
Uncorrected energy (eV per atom): -7.903

Geometry as CIF:
```
data_Pa8Ge3As5
_chemical_formula_sum 'Pa24 Ge9 As15'
_cell_length_a 8.2256
_cell_length_b 8.2256
_cell_length_c 20.1186
_cell_angle_alpha 90.00
_cell_angle_beta 90.00
_cell_angle_gamma 120.00
_space_group_name_H-M_alt 'R -3 m'
_space_group_IT_number 166
_space_group_name_Hall '-R 3 2"'
loop_
_atom_site_label
_atom_site_type_symbol
_atom_site_fract_x
_atom_site_fract_y
_atom_site_fract_z
_atom_site_occupancy
Pa1 Pa 0.0000 0.0000 0.2501 1
Pa2 Pa 0.0001 0.5000 0.2500 1
Ge1 Ge 0.0000 0.5000 0.0000 1
As1 As 0.0000 0.0000 0.0000 1
As2 As 0.0000 0.0000 0.5000 1
As3 As 0.0000 0.5000 0.5000 1
```

=====

(2)
Here is crystalline TaV3Rh at its relaxed geometry from Alexandria via LeMat-Bulk. Energies are from PBE-GGA.

Properties
Formation energy (meV per atom): 1112
Uncorrected energy (eV per atom): -8.200
Distance to the lowest polymorph of the same formula (kcal/mol of atoms): 0.00

Geometry as CIF:
```
data_TaV3Rh
_chemical_formula_sum 'Ta1 V3 Rh1'
_cell_length_a 4.507
_cell_length_b 4.507
_cell_length_c 4.507
_cell_angle_alpha 90.00
_cell_angle_beta 90.00
_cell_angle_gamma 90.00
_space_group_name_H-M_alt 'P m -3 m'
_space_group_IT_number 221
_space_group_name_Hall '-P 4 2 3'
loop_
_atom_site_label
_atom_site_type_symbol
_atom_site_fract_x
_atom_site_fract_y
_atom_site_fract_z
_atom_site_occupancy
Ta1 Ta 0.000 0.000 0.000 1
V1 V 0.000 0.500 0.500 1
Rh1 Rh 0.500 0.500 0.500 1
```

=====

(3)
Here is crystalline As5Ru4 at its relaxed geometry from Alexandria via LeMat-Bulk. Energies are from PBE-GGA.

Properties
Formation energy (meV per atom): 321
Uncorrected energy (eV per atom): -6.385
Distance to the lowest polymorph of the same formula (kcal/mol of atoms): 3.11

Geometry as CIF:
```
data_As5Ru4
_chemical_formula_sum 'As10 Ru8'
_cell_length_a 8.311
_cell_length_b 8.311
_cell_length_c 4.161
_cell_angle_alpha 90.00
_cell_angle_beta 90.00
_cell_angle_gamma 90.00
_space_group_name_H-M_alt 'I 4/m m m'
_space_group_IT_number 139
_space_group_name_Hall '-I 4 2'
loop_
_atom_site_label
_atom_site_type_symbol
_atom_site_fract_x
_atom_site_fract_y
_atom_site_fract_z
_atom_site_occupancy
As1 As 0.000 0.000 0.000 1
As2 As 0.180 0.180 0.500 1
Ru1 Ru 0.000 0.343 0.000 1
```

=====

(4)
Here is crystalline SrCa2Cu2Si2 at its relaxed geometry from Alexandria via LeMat-Bulk. Energies are from PBE-GGA.

Properties
Formation energy without anion corrections (eV/atom): -0.35
Uncorrected energy (eV per atom): -3.882

Geometry as CIF:
```
data_SrCa2Cu2Si2
_chemical_formula_sum 'Sr3 Ca6 Cu6 Si6'
_cell_length_a 4.3461
_cell_length_b 4.3461
_cell_length_c 30.0264
_cell_angle_alpha 90.00
_cell_angle_beta 90.00
_cell_angle_gamma 120.00
_space_group_name_H-M_alt 'R -3 m'
_space_group_IT_number 166
_space_group_name_Hall '-R 3 2"'
loop_
_atom_site_label
_atom_site_type_symbol
_atom_site_fract_x
_atom_site_fract_y
_atom_site_fract_z
_atom_site_occupancy
Sr1 Sr 0.0000 0.0000 0.0000 1
Ca1 Ca 0.0000 0.0000 0.1247 1
Cu1 Cu 0.0000 0.0000 0.4062 1
Si1 Si 0.0000 0.0000 0.2587 1
```

=====

(5)
Here is crystalline Ba2MgAu2 at its relaxed geometry from Alexandria via LeMat-Bulk. Energies are from PBE-GGA.

Properties
Formation energy (meV per atom): -593
Uncorrected energy (eV per atom): -2.992
Distance to the lowest polymorph of the same formula (kcal/mol of atoms): 0.00

Geometry as CIF:
```
data_Ba2MgAu2
_chemical_formula_sum 'Ba8 Mg4 Au8'
_cell_length_a 8.097
_cell_length_b 12.825
_cell_length_c 6.633
_cell_angle_alpha 90.00
_cell_angle_beta 90.00
_cell_angle_gamma 90.00
_space_group_name_H-M_alt 'I b a m'
_space_group_IT_number 72
_space_group_name_Hall '-I 2 2c'
loop_
_atom_site_label
_atom_site_type_symbol
_atom_site_fract_x
_atom_site_fract_y
_atom_site_fract_z
_atom_site_occupancy
Ba1 Ba 0.156 0.147 0.000 1
Mg1 Mg 0.000 0.500 0.250 1
Au1 Au 0.230 0.399 0.000 1
```